# Tm2In2Rh3 (PBE, relaxed)
data_Tm2In2Rh3
_chemical_formula_sum 'Tm2 In2 Rh3'
_cell_length_a 4.701
_cell_length_b 4.701
_cell_length_c 7.843
_cell_angle_alpha 107.42
_cell_angle_beta 107.42
_cell_angle_gamma 59.85
_space_group_name_H-M_alt 'P 1'
_space_group_IT_number 1
loop_
_space_group_symop_operation_xyz
'x,y,z'
loop_
_atom_site_label
_atom_site_type_symbol
_atom_site_fract_x
_atom_site_fract_y
_atom_site_fract_z
Tm1 Tm 0.118 0.118 0.353
Tm2 Tm 0.882 0.882 0.647
In1 In 0.372 0.372 0.115
In2 In 0.628 0.628 0.885
Rh1 Rh 0.248 0.248 0.743
Rh2 Rh 0.500 0.500 0.500
Rh3 Rh 0.752 0.752 0.257
# Energy = -41.6 eV/cell
# Formation energy = -0.730 eV/atom